[1]
A relaxed structure of Na5B8C2. Source: Alexandria via LeMat-Bulk, functional PBE.

a b c (Å): 8.5868 7.8088 7.8088
angles (deg): 142.10 90.00 90.00
Closest atoms and distances in Å follow each position.
Fractional positions:
Na: 0.2452 0.0000 0.0000  10 B 2.64-2.81, 2 C 2.71, 4 Na 2.92-2.95
Na: 0.2466 0.4028 0.6030  2 C 2.71-2.75, 10 B 2.72-2.81, 6 Na 2.92-2.96
Na: 0.2466 0.6030 0.4028  2 C 2.71-2.75, 10 B 2.72-2.81, 6 Na 2.92-2.96
Na: 0.2484 0.2058 0.8059  9 B 2.67-2.80, 3 C 2.70-2.72, 6 Na 2.92-2.95
Na: 0.2484 0.8059 0.2058  9 B 2.67-2.80, 3 C 2.70-2.72, 6 Na 2.92-2.95
Na: 0.7516 0.2058 0.8059  9 B 2.67-2.80, 3 C 2.70-2.72, 6 Na 2.92-2.95
Na: 0.7516 0.8059 0.2058  9 B 2.67-2.80, 3 C 2.70-2.72, 6 Na 2.92-2.95
Na: 0.7534 0.4028 0.6030  2 C 2.71-2.75, 10 B 2.72-2.81, 6 Na 2.92-2.96
Na: 0.7534 0.6030 0.4028  2 C 2.71-2.75, 10 B 2.72-2.81, 6 Na 2.92-2.96
Na: 0.7548 0.0000 0.0000  10 B 2.64-2.81, 2 C 2.71, 4 Na 2.92-2.95
B: 0.0000 0.0602 0.2724  2 C 1.66-1.67, 1 B 1.79
B: 0.0000 0.2724 0.0602  2 C 1.66-1.67, 1 B 1.79
B: 0.0000 0.3356 0.3356  3 B 1.78-1.79
B: 0.0000 0.4692 0.8693  3 C 1.65-1.72
B: 0.0000 0.6873 0.6873  2 C 1.68, 1 B 1.78
B: 0.0000 0.8693 0.4692  3 C 1.65-1.72
B: 0.5000 0.0618 0.2712  3 B 1.65-1.72
B: 0.5000 0.1519 0.5465  3 B 1.65-1.72
B: 0.5000 0.2712 0.0618  3 B 1.65-1.72
B: 0.5000 0.3153 0.3153  3 B 1.72
B: 0.5000 0.4840 0.8900  3 B 1.69-1.75
B: 0.5000 0.5465 0.1519  3 B 1.65-1.72
B: 0.5000 0.6551 0.6551  3 B 1.66-1.72
B: 0.5000 0.7353 0.9251  3 B 1.66-1.75
B: 0.5000 0.8900 0.4840  3 B 1.69-1.75
B: 0.5000 0.9251 0.7353  3 B 1.66-1.75
C: 0.0000 0.1277 0.5336  3 B 1.65-1.72
C: 0.0000 0.5336 0.1277  3 B 1.65-1.72
C: 0.0000 0.7351 0.9380  3 B 1.67-1.69
C: 0.0000 0.9380 0.7351  3 B 1.67-1.69

Properties
D(E_F) (states/eV/cell): 5.3
Formation energy (eV/atom): 0.2176
Total magnetic moment (Bohr magnetons per cell): 0.00
Relative energy among the computed polymorphs (meV/atom): 47

=====

[2]
A relaxed structure of NaB4C. Source: Alexandria via LeMat-Bulk, functional PBE.

a b c (Å): 3.3482 5.1883 7.4946
angles (deg): 83.79 85.35 83.45
Closest atoms and distances in Å follow each position.
Fractional positions:
Na: 0.2233 0.4697 0.2280  8 B 2.73-2.91, 2 C 2.88-2.97
Na: 0.7767 0.5303 0.7720  8 B 2.73-2.91, 2 C 2.88-2.97
B: 0.0924 0.0952 0.5767  1 C 1.58, 3 B 1.68-1.73
B: 0.1595 0.8667 0.9495  1 C 1.65, 4 B 1.67-1.84
B: 0.3548 0.1492 0.9519  1 C 1.65, 4 B 1.67-1.84
B: 0.3925 0.9633 0.4034  1 C 1.51, 1 B 1.68
B: 0.6075 0.0367 0.5966  1 C 1.51, 1 B 1.68
B: 0.6452 0.8508 0.0481  1 C 1.65, 4 B 1.67-1.84
B: 0.8405 0.1333 0.0505  1 C 1.65, 4 B 1.67-1.84
B: 0.9076 0.9048 0.4233  1 C 1.58, 3 B 1.68-1.73
C: 0.3070 0.0321 0.7589  4 B 1.51-1.65
C: 0.6930 0.9679 0.2411  4 B 1.51-1.65

Properties
D(E_F) (states/eV/cell): 1.2
Formation energy (eV/atom): 0.2822
Total magnetic moment (Bohr magnetons per cell): 0.00
Relative energy among the computed polymorphs (meV/atom): 0

=====

[3]
A relaxed structure of Na2B3C. Source: Alexandria via LeMat-Bulk, functional PBE.

a b c (Å): 2.9168 2.9168 34.2279
angles (deg): 90.00 90.00 120.00
Closest atoms and distances in Å follow each position.
Fractional positions:
Na: 0.0000 0.0000 0.0000  6 C 2.69, 6 B 2.69, 6 Na 2.92
Na: 0.0000 0.0000 0.1225  6 C 2.69, 6 B 2.69, 6 Na 2.92
Na: 0.0000 0.0000 0.2455  9 B 2.70-2.75, 3 C 2.70, 6 Na 2.92
Na: 0.0000 0.0000 0.3724  12 B 2.75-2.76, 6 Na 2.92
Na: 0.0000 0.0000 0.5000  12 B 2.75, 6 Na 2.92
Na: 0.0000 0.0000 0.6276  12 B 2.75-2.76, 6 Na 2.92
Na: 0.0000 0.0000 0.7545  9 B 2.70-2.75, 3 C 2.70, 6 Na 2.92
Na: 0.0000 0.0000 0.8775  6 C 2.69, 6 B 2.69, 6 Na 2.92
B: 0.3333 0.6667 0.1838  3 C 1.68
B: 0.3333 0.6667 0.3090  3 B 1.68
B: 0.3333 0.6667 0.4364  3 B 1.68
B: 0.3333 0.6667 0.5636  3 B 1.68
B: 0.3333 0.6667 0.6910  3 B 1.68
B: 0.3333 0.6667 0.9388  3 C 1.68
B: 0.6667 0.3333 0.0612  3 C 1.68
B: 0.6667 0.3333 0.3090  3 B 1.68
B: 0.6667 0.3333 0.4364  3 B 1.68
B: 0.6667 0.3333 0.5636  3 B 1.68
B: 0.6667 0.3333 0.6910  3 B 1.68
B: 0.6667 0.3333 0.8162  3 C 1.68
C: 0.3333 0.6667 0.0612  3 B 1.68
C: 0.3333 0.6667 0.8162  3 B 1.68
C: 0.6667 0.3333 0.1838  3 B 1.68
C: 0.6667 0.3333 0.9388  3 B 1.68

Properties
D(E_F) (states/eV/cell): 6.8
Formation energy (eV/atom): 0.1899
Total magnetic moment (Bohr magnetons per cell): 0.00
Relative energy among the computed polymorphs (meV/atom): 57

=====

[4]
A relaxed structure of Na5B8C2. Source: Alexandria via LeMat-Bulk, functional PBE.

a b c (Å): 8.6662 13.3024 13.3024
angles (deg): 12.13 90.00 90.00
Closest atoms and distances in Å follow each position.
Fractional positions:
Na: 0.2463 0.0000 0.0000  9 B 2.68-2.85, 3 C 2.76-2.78, 6 Na 2.81-2.98
Na: 0.2497 0.5995 0.5995  10 B 2.69-2.97, 2 C 2.71, 4 Na 2.81-2.98
Na: 0.2509 0.2003 0.2003  11 B 2.69-2.92, 2 Na 2.81, 1 C 2.84
Na: 0.2512 0.8011 0.8011  11 B 2.67-2.94, 2 Na 2.81, 1 C 2.86
Na: 0.2515 0.4012 0.4012  7 B 2.67-2.83, 5 C 2.69-2.74, 4 Na 2.81-2.97
Na: 0.7485 0.4012 0.4012  7 B 2.67-2.83, 5 C 2.69-2.74, 4 Na 2.81-2.97
Na: 0.7491 0.2003 0.2003  11 B 2.69-2.92, 2 Na 2.81, 1 C 2.84
Na: 0.7488 0.8011 0.8011  11 B 2.67-2.94, 2 Na 2.81, 1 C 2.86
Na: 0.7503 0.5995 0.5995  10 B 2.69-2.97, 2 C 2.71, 4 Na 2.81-2.98
Na: 0.7537 0.0000 0.0000  9 B 2.68-2.85, 3 C 2.76-2.78, 6 Na 2.81-2.98
B: 0.0000 0.0713 0.0713  1 C 1.59, 2 B 1.76
B: 0.0000 0.2702 0.2702  3 B 1.67-1.80
B: 0.0000 0.3333 0.3333  3 B 1.67-1.80
B: 0.0000 0.4656 0.4656  2 C 1.63, 1 B 1.74
B: 0.0000 0.5314 0.5314  3 B 1.74-1.76
B: 0.0000 0.6620 0.6620  2 C 1.62, 1 B 1.74
B: 0.0000 0.7279 0.7279  3 B 1.74-1.80
B: 0.0000 0.8756 0.8756  1 C 1.55
B: 0.5000 0.0643 0.0643  3 B 1.67-1.78
B: 0.5000 0.1273 0.1273  3 B 1.67-1.81
B: 0.5000 0.2748 0.2748  3 B 1.77
B: 0.5000 0.3417 0.3417  2 C 1.62, 1 B 1.77
B: 0.5000 0.5229 0.5229  1 C 1.56
B: 0.5000 0.6703 0.6703  3 B 1.69-1.81
B: 0.5000 0.7343 0.7343  3 B 1.69-1.77
B: 0.5000 0.9332 0.9332  3 C 1.62
C: 0.0000 0.1313 0.1313  3 B 1.59-1.62
C: 0.0000 0.9341 0.9341  3 B 1.55-1.63
C: 0.5000 0.4639 0.4639  3 B 1.56-1.62
C: 0.5000 0.8719 0.8719  3 B 1.62

Properties
D(E_F) (states/eV/cell): 5.3
Formation energy (eV/atom): 0.1805
Total magnetic moment (Bohr magnetons per cell): 0.00
Relative energy among the computed polymorphs (meV/atom): 10

=====

[5]
A relaxed structure of Na5B6C4. Source: Alexandria via LeMat-Bulk, functional PBE.

a b c (Å): 2.8543 2.8543 42.3993
angles (deg): 90.00 90.00 120.00
Closest atoms and distances in Å follow each position.
Fractional positions:
Na: 0.0000 0.0000 0.0495  6 C 2.67, 6 B 2.67, 6 Na 2.85
Na: 0.0000 0.0000 0.1487  6 C 2.67, 6 B 2.67, 6 Na 2.85
Na: 0.0000 0.0000 0.2485  9 B 2.69-2.72, 3 C 2.70, 6 Na 2.85
Na: 0.0000 0.0000 0.3508  9 B 2.69-2.72, 3 C 2.69, 6 Na 2.85
Na: 0.0000 0.0000 0.4504  6 C 2.66-2.67, 6 B 2.67, 6 Na 2.85
Na: 0.0000 0.0000 0.5496  6 C 2.66-2.67, 6 B 2.67, 6 Na 2.85
Na: 0.0000 0.0000 0.6492  9 B 2.69-2.72, 3 C 2.69, 6 Na 2.85
Na: 0.0000 0.0000 0.7515  9 B 2.69-2.72, 3 C 2.70, 6 Na 2.85
Na: 0.0000 0.0000 0.8513  6 C 2.67, 6 B 2.67, 6 Na 2.85
Na: 0.0000 0.0000 0.9505  6 C 2.67, 6 B 2.67, 6 Na 2.85
B: 0.3333 0.6667 0.0000  3 C 1.65
B: 0.3333 0.6667 0.1982  3 C 1.65
B: 0.3333 0.6667 0.2997  3 B 1.65
B: 0.3333 0.6667 0.4010  3 C 1.65
B: 0.3333 0.6667 0.5990  3 C 1.65
B: 0.3333 0.6667 0.7003  3 B 1.65
B: 0.3333 0.6667 0.8018  3 C 1.65
B: 0.6667 0.3333 0.0990  3 C 1.65
B: 0.6667 0.3333 0.2997  3 B 1.65
B: 0.6667 0.3333 0.5000  3 C 1.65
B: 0.6667 0.3333 0.7003  3 B 1.65
B: 0.6667 0.3333 0.9010  3 C 1.65
C: 0.3333 0.6667 0.0990  3 B 1.65
C: 0.3333 0.6667 0.5000  3 B 1.65
C: 0.3333 0.6667 0.9010  3 B 1.65
C: 0.6667 0.3333 0.0000  3 B 1.65
C: 0.6667 0.3333 0.1982  3 B 1.65
C: 0.6667 0.3333 0.4011  3 B 1.65
C: 0.6667 0.3333 0.5989  3 B 1.65
C: 0.6667 0.3333 0.8018  3 B 1.65

Properties
D(E_F) (states/eV/cell): 3.0
Formation energy (eV/atom): 0.0764
Total magnetic moment (Bohr magnetons per cell): 0.00
Relative energy among the computed polymorphs (meV/atom): 25

=====

[6]
A relaxed structure of Na5B8C2. Source: Alexandria via LeMat-Bulk, functional PBE.

a b c (Å): 8.6241 13.2165 13.2165
angles (deg): 12.36 90.00 90.00
Closest atoms and distances in Å follow each position.
Fractional positions:
Na: 0.2439 0.0000 0.0000  9 B 2.69-2.86, 3 C 2.75-2.77, 6 Na 2.84-2.99
Na: 0.2484 0.4001 0.4001  9 B 2.69-2.81, 3 C 2.71-2.78, 6 Na 2.84-2.99
Na: 0.2475 0.8000 0.8000  11 B 2.69-2.88, 1 C 2.82, 6 Na 2.84-2.99
Na: 0.2491 0.5999 0.5999  10 B 2.67-2.92, 2 C 2.74, 6 Na 2.84-2.99
Na: 0.2496 0.1998 0.1998  9 B 2.68-2.88, 3 C 2.70-2.74, 6 Na 2.84-2.99
Na: 0.7504 0.1998 0.1998  9 B 2.68-2.88, 3 C 2.70-2.74, 6 Na 2.84-2.99
Na: 0.7509 0.5999 0.5999  10 B 2.67-2.92, 2 C 2.74, 6 Na 2.84-2.99
Na: 0.7516 0.4001 0.4001  9 B 2.69-2.81, 3 C 2.71-2.78, 6 Na 2.84-2.99
Na: 0.7525 0.8000 0.8000  11 B 2.69-2.88, 1 C 2.82, 6 Na 2.84-2.99
Na: 0.7561 0.0000 0.0000  9 B 2.69-2.86, 3 C 2.75-2.77, 6 Na 2.84-2.99
B: 0.0000 0.0736 0.0736  1 C 1.62, 2 B 1.77
B: 0.0000 0.2605 0.2605  2 C 1.63
B: 0.0000 0.3310 0.3310  3 B 1.76-1.85
B: 0.0000 0.4639 0.4639  2 C 1.64, 1 B 1.83
B: 0.0000 0.5337 0.5337  3 B 1.77-1.83
B: 0.0000 0.6664 0.6664  3 C 1.64-1.67
B: 0.0000 0.8702 0.8702  1 C 1.65, 2 B 1.76
B: 0.5000 0.0647 0.0647  3 B 1.65-1.76
B: 0.5000 0.1274 0.1274  3 B 1.65-1.78
B: 0.5000 0.2704 0.2704  3 B 1.70-1.75
B: 0.5000 0.3351 0.3351  3 B 1.70-1.72
B: 0.5000 0.5254 0.5254  1 C 1.56
B: 0.5000 0.6684 0.6684  3 B 1.66-1.78
B: 0.5000 0.7315 0.7315  3 B 1.66-1.75
B: 0.5000 0.8716 0.8716  3 B 1.72-1.73
B: 0.5000 0.9375 0.9375  2 C 1.61, 1 B 1.73
C: 0.0000 0.1354 0.1354  3 B 1.62-1.64
C: 0.0000 0.7300 0.7300  3 B 1.63-1.67
C: 0.0000 0.9329 0.9329  3 B 1.64-1.65
C: 0.5000 0.4661 0.4661  3 B 1.56-1.61

Properties
D(E_F) (states/eV/cell): 7.7
Formation energy (eV/atom): 0.1921
Total magnetic moment (Bohr magnetons per cell): 0.00
Relative energy among the computed polymorphs (meV/atom): 22

=====

total magnetic moment of number 6 (Na5B8C2)?
0.00 Bohr magnetons per cell